Record 1
First-principles (PBE) data for a relaxed Sc7Mo6 crystal, as listed in the Alexandria database.

It has space group R-3m (No. 166, hexagonal axes), with a = 5.7672 Å, b = 5.7672 Å, c = 26.3141 Å, α = 90.00°, β = 90.00° and γ = 120.00°. The distinct sites, in fractional coordinates, are Sc at (0.0000, 0.0000, 0.0000), Sc at (0.0080, 0.5040, 0.4159), Mo at (0.0000, 0.0000, 0.1662), Mo at (0.0000, 0.0000, 0.3608) and Mo at (0.0000, 0.0000, 0.4506).

The total energy comes out at -306.44 eV for the cell shown.



Record 2
First-principles (PBE) data for a relaxed Sc3Mo crystal, as listed in the Alexandria database.

It has space group I4/mmm (No. 139), with a = 4.4379 Å, b = 4.4379 Å, c = 8.3856 Å, α = 90.00°, β = 90.00° and γ = 90.00°. The distinct sites, in fractional coordinates, are Sc at (0.0000, 0.0000, 0.0000), Sc at (0.0000, 0.5000, 0.2500) and Mo at (0.0000, 0.0000, 0.5000).

The total energy comes out at -58.41 eV for the cell shown. The excess energy over the best structure of this formula in the dataset comes out at 90 meV per atom.



Record 3
First-principles (PBE) data for a relaxed ScMo2 crystal, as listed in the Alexandria database.

It has space group Cmcm (No. 63), with a = 4.7066 Å, b = 13.7314 Å, c = 3.2175 Å, α = 90.00°, β = 90.00° and γ = 90.00°. The distinct sites, in fractional coordinates, are Sc at (0.0000, 0.0929, 0.2500), Mo at (0.0000, 0.2626, 0.7500) and Mo at (0.0000, 0.4182, 0.2500).

The total energy comes out at -111.00 eV for the cell shown.



Record 4
First-principles (PBE) data for a relaxed Sc3Mo crystal, as listed in the Alexandria database.

It has space group P6_3/mmc (No. 194), with a = 6.1986 Å, b = 6.1986 Å, c = 9.9665 Å, α = 90.00°, β = 90.00° and γ = 120.00°. The distinct sites, in fractional coordinates, are Sc at (0.0000, 0.5000, 0.0000), Sc at (0.1634, 0.3268, 0.2500), Mo at (0.0000, 0.0000, 0.0000) and Mo at (0.3333, 0.6667, 0.7500).

The total energy comes out at -117.26 eV for the cell shown. The excess energy over the best structure of this formula in the dataset comes out at 63 meV per atom.



Record 5
First-principles (PBE) data for a relaxed Sc3Mo2 crystal, as listed in the Alexandria database.

It has space group Fdd2 (No. 43), with a = 10.2476 Å, b = 15.0870 Å, c = 5.0643 Å, α = 90.00°, β = 90.00° and γ = 90.00°. The distinct sites, in fractional coordinates, are Sc at (0.0000, 0.0000, 0.0000), Sc at (0.0238, 0.3953, 0.9992) and Mo at (0.0106, 0.2903, 0.5194).

The total energy comes out at -314.58 eV for the cell shown. The excess energy over the best structure of this formula in the dataset comes out at 0 meV per atom.



Record 6
First-principles (PBE) data for a relaxed ScMo2 crystal, as listed in the Alexandria database.

It has space group Fmmm (No. 69), with a = 3.2507 Å, b = 4.6701 Å, c = 13.7972 Å, α = 90.00°, β = 90.00° and γ = 90.00°. The distinct sites, in fractional coordinates, are Sc at (0.0000, 0.0000, 0.0000) and Mo at (0.0000, 0.0000, 0.3248).

The total energy comes out at -110.33 eV for the cell shown.



no.,formation enthalpy at 0 K (kcal/mol of atoms),N(E_F) (states/eV/cell)
1,12.70,45.18
2,3.57,10.28
3,1.87,14.18
4,2.95,14.49
5,6.15,52.11
6,3.16,15.12